Record 1
PBE-GGA HoErTmPu, optimized geometry; space group = F-43m; energy of formation from the pure elements = 0.18 eV/atom; VASP energy = -6.806 eV/atom
1.0
0.0000 3.9101 3.9101
3.9101 0.0000 3.9101
3.9101 3.9101 0.0000
Ho Er Tm Pu
1 1 1 1
Direct
0.0000 0.0000 0.0000
0.7500 0.7500 0.7500
0.2500 0.2500 0.2500
0.5000 0.5000 0.5000

Record 2
PBE-GGA Ho6Er2Tm3Pu, optimized geometry; space group = C2/m; energy of formation from the pure elements = 0.04 eV/atom; VASP energy = -5.318 eV/atom
1.0
3.0319 -5.2525 0.0000
3.0319 5.2525 0.0000
-2.0209 0.0000 11.3872
Ho Er Tm Pu
6 2 3 1
Direct
0.0830 0.4129 0.7490
0.2471 0.2471 0.2510
0.4129 0.0830 0.7490
0.5871 0.9170 0.2510
0.7529 0.7529 0.7490
0.9170 0.5871 0.2510
0.3334 0.6666 0.5000
0.6666 0.3334 0.5000
0.1673 0.8327 0.0000
0.5000 0.5000 0.0000
0.8327 0.1673 0.0000
0.0000 0.0000 0.5000

Record 3
PBE-GGA HoEr2Tm4Pu, optimized geometry; space group = Imma; energy of formation from the pure elements = 0.48 eV/atom; VASP energy = -5.260 eV/atom
1.0
-3.3305 5.7715 6.4937
3.3305 -5.7715 6.4937
3.3305 5.7715 -6.4937
Ho Er Tm Pu
2 4 8 2
Direct
0.5000 0.0000 0.0000
0.5000 0.5000 0.5000
0.0000 0.0000 0.0000
0.0000 0.0000 0.5000
0.0000 0.5000 0.0000
0.5000 0.0000 0.5000
0.2405 0.7408 0.4996
0.2495 0.2587 0.5091
0.2495 0.7404 0.9909
0.2588 0.2592 0.9996
0.7412 0.7408 0.0004
0.7505 0.2596 0.0091
0.7505 0.7413 0.4909
0.7595 0.2592 0.5004
0.0000 0.5000 0.5000
0.5000 0.5000 0.0000

Record 4
PBE-GGA Y6Ho2Er3Pu, optimized geometry; space group = C2/m; energy of formation from the pure elements = 0.05 eV/atom; VASP energy = -6.279 eV/atom
1.0
3.0625 -5.3044 0.0000
3.0625 5.3044 0.0000
-2.0444 0.0000 11.5047
Y Ho Er Pu
6 2 3 1
Direct
0.0828 0.4127 0.7488
0.2472 0.2472 0.2512
0.4127 0.0828 0.7488
0.5873 0.9172 0.2512
0.7528 0.7528 0.7488
0.9172 0.5873 0.2512
0.3334 0.6666 0.5000
0.6666 0.3334 0.5000
0.1673 0.8327 0.0000
0.5000 0.5000 0.0000
0.8327 0.1673 0.0000
0.0000 0.0000 0.5000

Record 5
PBE-GGA YHo6Er2Pu, optimized geometry; space group = C2/c; energy of formation from the pure elements = 0.17 eV/atom; VASP energy = -5.574 eV/atom
1.0
4.6504 -7.7051 0.0000
4.6504 7.7051 0.0000
-0.1788 0.0000 8.6671
Y Ho Er Pu
2 12 4 2
Direct
0.0518 0.9482 0.7500
0.9482 0.0518 0.2500
0.0397 0.4698 0.3091
0.0846 0.7813 0.0680
0.2187 0.9154 0.4320
0.2790 0.5640 0.9262
0.4360 0.7210 0.5738
0.4698 0.0397 0.8091
0.5302 0.9603 0.1909
0.5640 0.2790 0.4262
0.7210 0.4360 0.0738
0.7813 0.0846 0.5680
0.9154 0.2187 0.9320
0.9603 0.5302 0.6909
0.2051 0.3024 0.5627
0.3024 0.2051 0.0627
0.6976 0.7949 0.9373
0.7949 0.6976 0.4373
0.4419 0.5581 0.2500
0.5581 0.4419 0.7500

Record 6
PBE-GGA Y2Ho3Er6Pu, optimized geometry; space group = C2/m; energy of formation from the pure elements = 0.05 eV/atom; VASP energy = -5.650 eV/atom
1.0
3.0424 -5.2696 0.0000
3.0424 5.2696 0.0000
-2.0320 0.0000 11.4288
Y Ho Er Pu
2 3 6 1
Direct
0.1666 0.8334 0.0000
0.8334 0.1666 0.0000
0.0000 0.0000 0.5000
0.3327 0.6673 0.5000
0.6673 0.3327 0.5000
0.0878 0.4169 0.7505
0.2538 0.2538 0.2495
0.4169 0.0878 0.7505
0.5831 0.9122 0.2495
0.7462 0.7462 0.7505
0.9122 0.5831 0.2495
0.5000 0.5000 0.0000